No. 1
This record from the Alexandria database describes a relaxed structure of SiNi2W. The functional is PBE-GGA.

Structure (POSCAR):
```
SiNi2W
1.0
2.8610 0.0000 0.0000
0.0000 4.1953 0.0000
0.0000 0.0000 4.2108
Si Ni W
1 2 1
direct
0.0000 0.0000 0.0000
0.0000 0.5000 0.5000
0.5000 0.0000 0.5000
0.5000 0.5000 0.0000
```

density: 10.82 g/cm³
E_form (uncorrected): -0.074 eV per atom
space-group type: Pmmm (47)
electronic total energy: -7.5584 eV/atom

No. 2
This record from the Alexandria database describes a relaxed structure of Na2LiHg5. The functional is PBE-GGA.

Structure (POSCAR):
```
Na2LiHg5
1.0
-2.3978 2.3978 8.3654
2.3978 -2.3978 8.3654
2.3978 2.3978 -8.3654
Na Li Hg
2 1 5
direct
0.2502 0.2502 0.0000
0.7498 0.7498 0.0000
0.0000 0.0000 0.0000
0.1202 0.6202 0.5000
0.3798 0.8798 0.5000
0.5000 0.5000 0.0000
0.6202 0.1202 0.5000
0.8798 0.3798 0.5000
```

ΔH_f (0 K): -209.8 meV/atom
density: 9.11 g/cm³
space-group type: I4/mmm (139)
electronic total energy: -0.9674 eV/atom

No. 3
This record from the Alexandria database describes a relaxed structure of CaTaRe4. The functional is PBE-GGA.

Structure (POSCAR):
```
CaTaRe4
1.0
0.0000 3.7462 3.7462
3.7462 0.0000 3.7462
3.7462 3.7462 0.0000
Ca Ta Re
1 1 4
direct
0.0000 0.0000 0.0000
0.2500 0.2500 0.2500
0.1258 0.6247 0.6247
0.6247 0.1258 0.6247
0.6247 0.6247 0.1258
0.6247 0.6247 0.6247
```

ΔH_f (0 K): 124.6 meV/atom
density: 15.25 g/cm³
space-group type: F-43m (216)
electronic total energy: -10.4831 eV/atom

No. 4
This record from the Alexandria database describes a relaxed structure of Tb3PrTm. The functional is PBE-GGA.

Structure (POSCAR):
```
Tb3PrTm
1.0
3.6397 0.0000 0.0000
0.0000 11.6679 0.0000
-1.8158 0.0000 8.3488
Tb Pr Tm
6 2 2
direct
0.1417 0.2500 0.2817
0.3483 0.5016 0.6973
0.3483 0.9984 0.6973
0.6517 0.0016 0.3027
0.6517 0.4984 0.3027
0.8583 0.7500 0.7183
0.1935 0.7500 0.3888
0.8065 0.2500 0.6112
0.4795 0.2500 0.9561
0.5205 0.7500 0.0439
```

ΔH_f (0 K): 335.7 meV/atom
density: 7.37 g/cm³
space-group type: P2_1/m (11)
electronic total energy: -4.2927 eV/atom

No. 5
This record from the Alexandria database describes a relaxed structure of BaTeO3F. The functional is PBE-GGA.

Structure (POSCAR):
```
BaTeO3F
1.0
4.2683 -6.4543 0.0000
4.2683 6.4543 0.0000
-2.3860 0.0000 4.5706
Ba Te O F
2 2 6 2
direct
0.1259 0.8741 0.7500
0.8741 0.1259 0.2500
0.4286 0.5714 0.2500
0.5714 0.4286 0.7500
0.2815 0.7185 0.2500
0.3090 0.3917 0.4586
0.3917 0.3090 0.9586
0.6083 0.6910 0.0414
0.6910 0.6083 0.5414
0.7185 0.2815 0.7500
0.0673 0.9327 0.2500
0.9327 0.0673 0.7500
```

density: 4.38 g/cm³
E_form (uncorrected): -1.779 eV per atom
space-group type: C2/c (15)
electronic total energy: -5.4140 eV/atom

No. 6
This record from the Alexandria database describes a relaxed structure of MgSbO3. The functional is PBE-GGA.

Structure (POSCAR):
```
MgSbO3
1.0
4.0511 0.0000 0.0000
0.0000 4.0511 0.0000
0.0000 0.0000 4.0511
Mg Sb O
1 1 3
direct
0.0000 0.0000 0.0000
0.5000 0.5000 0.5000
0.0000 0.5000 0.5000
0.5000 0.0000 0.5000
0.5000 0.5000 0.0000
```

density: 4.85 g/cm³
E_form (uncorrected): -1.219 eV per atom
space-group type: Pm-3m (221)
electronic total energy: -5.3374 eV/atom

No. 7
This record from the Alexandria database describes a relaxed structure of ErLuOs2. The functional is PBE-GGA.

Structure (POSCAR):
```
ErLuOs2
1.0
3.3599 0.0000 0.0000
0.0000 3.3599 0.0000
0.0000 0.0000 6.7219
Er Lu Os
1 1 2
direct
0.0000 0.0000 0.0000
0.0000 0.0000 0.5000
0.5000 0.5000 0.2535
0.5000 0.5000 0.7465
```

ΔH_f (0 K): -142.4 meV/atom
density: 15.81 g/cm³
space-group type: P4/mmm (123)
electronic total energy: -8.0282 eV/atom

No. 8
This record from the Alexandria database describes a relaxed structure of Zn2SiW. The functional is PBE-GGA.

Structure (POSCAR):
```
Zn2SiW
1.0
1.4344 0.8282 8.4645
-1.4344 0.8282 8.4645
0.0000 -1.6563 8.4645
Zn Si W
2 1 1
direct
0.0000 0.0000 0.0000
0.2503 0.2503 0.2503
0.5019 0.5019 0.5019
0.7549 0.7549 0.7549
```

density: 9.43 g/cm³
E_form (uncorrected): 0.211 eV per atom
space-group type: R3m (160)
electronic total energy: -5.0202 eV/atom

No. 9
This record from the Alexandria database describes a relaxed structure of PaReGe. The functional is PBE-GGA.

Structure (POSCAR):
```
PaReGe
1.0
7.2750 0.0000 0.0000
0.0000 4.4803 0.0000
0.0000 0.0000 7.0692
Pa Re Ge
4 4 4
direct
0.0173 0.2500 0.1793
0.4827 0.7500 0.6793
0.5173 0.2500 0.3207
0.9827 0.7500 0.8207
0.1458 0.7500 0.4439
0.3542 0.2500 0.9439
0.6458 0.7500 0.0561
0.8542 0.2500 0.5561
0.2054 0.2500 0.6141
0.2946 0.7500 0.1141
0.7054 0.2500 0.8859
0.7946 0.7500 0.3859
```

ΔH_f (0 K): -331.0 meV/atom
density: 14.12 g/cm³
space-group type: Pnma (62)
electronic total energy: -9.1848 eV/atom

No. 10
This record from the Alexandria database describes a relaxed structure of MgNbB2Au. The functional is PBE-GGA.

Structure (POSCAR):
```
MgNbB2Au
1.0
4.2467 0.0000 0.0000
0.0000 4.2467 0.0000
0.0000 0.0000 5.4792
Mg Nb B Au
1 1 2 1
direct
0.0000 0.0000 0.0000
0.0000 0.0000 0.5000
0.0000 0.5000 0.5000
0.5000 0.0000 0.5000
0.5000 0.5000 0.0000
```

ΔH_f (0 K): 1434.3 meV/atom
density: 5.64 g/cm³
space-group type: P4/mmm (123)
electronic total energy: -4.2250 eV/atom

No. 11
This record from the Alexandria database describes a relaxed structure of RbNa2O. The functional is PBE-GGA.

Structure (POSCAR):
```
RbNa2O
1.0
1.9632 1.1335 10.1291
-1.9632 1.1335 10.1291
0.0000 -2.2670 10.1291
Rb Na O
1 2 1
direct
0.0000 0.0000 0.0000
0.1394 0.1394 0.1394
0.8606 0.8606 0.8606
0.5000 0.5000 0.5000
```

density: 1.81 g/cm³
E_form (uncorrected): -0.653 eV per atom
space-group type: R-3m (166)
electronic total energy: -2.7936 eV/atom

No. 12
This record from the Alexandria database describes a relaxed structure of Sc7Ga2Au2. The functional is PBE-GGA.

Structure (POSCAR):
```
Sc7Ga2Au2
1.0
3.6345 -5.0543 0.0000
3.6345 5.0543 0.0000
0.0000 0.0000 6.9606
Sc Ga Au
7 2 2
direct
0.0000 0.0000 0.0000
0.0000 0.5000 0.2824
0.0000 0.5000 0.7176
0.5000 0.0000 0.2824
0.5000 0.0000 0.7176
0.5000 0.5000 0.2677
0.5000 0.5000 0.7323
0.1745 0.1745 0.5000
0.8255 0.8255 0.5000
0.2909 0.7091 0.0000
0.7091 0.2909 0.0000
```

ΔH_f (0 K): -283.0 meV/atom
density: 5.51 g/cm³
space-group type: Cmmm (65)
electronic total energy: -5.4584 eV/atom